# GGA+U MoSIO2, relaxed
data_MoSIO2
_chemical_formula_sum 'Mo1 S1 I1 O2'
_cell_length_a 3.9886
_cell_length_b 3.9886
_cell_length_c 5.4746
_cell_angle_alpha 90.00
_cell_angle_beta 90.00
_cell_angle_gamma 90.00
_space_group_name_H-M_alt 'P 4/m m m'
_space_group_IT_number 123
_space_group_name_Hall '-P 4 2'
loop_
_atom_site_label
_atom_site_type_symbol
_atom_site_fract_x
_atom_site_fract_y
_atom_site_fract_z
_atom_site_occupancy
Mo1 Mo 0.0000 0.0000 0.0000 1
S1 S 0.5000 0.5000 0.5000 1
I1 I 0.5000 0.5000 0.0000 1
O1 O 0.0000 0.5000 0.5000 1
# **Calculated total energy**: -3.9806 eV/atom
# **DOS at the Fermi energy**: 1.36 states/eV/f.u.